# 1
VASP calculation (GGA-PBE) on crystalline Ce5Zn2Ir at its relaxed geometry. Values from VASP.

Cell and atoms, written as Quantum ESPRESSO input:
```
&SYSTEM
  ibrav = 0, nat = 16, ntyp = 3
/
ATOMIC_SPECIES
Ce 140.12 Ce.upf
Zn 65.41 Zn.upf
Ir 192.22 Ir.upf
CELL_PARAMETERS angstrom
-3.2745 0.7194 -3.0465
2.4737 -4.8973 -0.4474
-10.6385 -6.2827 9.9509
ATOMIC_POSITIONS crystal
Ce 0.6761 0.3521 0.5484
Ce 0.6761 0.3521 0.9516
Ce 0.3239 0.6479 0.0484
Ce 0.9526 0.9052 0.5893
Zn 0.2585 0.5171 0.6663
Ir 0.8306 0.6612 0.7500
Zn 0.7415 0.4829 0.1663
Ce 0.5464 0.0928 0.7500
Ce 0.4536 0.9072 0.2500
Ce 0.9526 0.9052 0.9107
Ce 0.0474 0.0948 0.0893
Zn 0.2585 0.5171 0.8337
Zn 0.7415 0.4829 0.3337
Ce 0.0474 0.0948 0.4107
Ir 0.1694 0.3388 0.2500
Ce 0.3239 0.6479 0.4516
```



# 2
VASP calculation (GGA-PBE) on crystalline Ce4ZnIr4 at its relaxed geometry. Values from VASP.

Cell and atoms, written as Quantum ESPRESSO input:
```
&SYSTEM
  ibrav = 0, nat = 9, ntyp = 3
/
ATOMIC_SPECIES
Ir 192.22 Ir.upf
Ce 140.12 Ce.upf
Zn 65.41 Zn.upf
CELL_PARAMETERS angstrom
5.4168 0.0000 0.0000
2.7084 6.2415 0.0000
2.7084 0.0000 6.2415
ATOMIC_POSITIONS crystal
Ir 0.0902 0.1809 0.6388
Ce 0.5880 0.2126 0.6114
Ir 0.7289 0.3612 0.1809
Ce 0.1994 0.3886 0.2126
Ce 0.4120 0.7874 0.3886
Ir 0.9098 0.8191 0.3612
Ir 0.2711 0.6388 0.8191
Ce 0.8006 0.6114 0.7874
Zn 0.0000 0.0000 0.0000
```



# 3
VASP calculation (GGA-PBE) on crystalline Ce5Zn2Ir2 at its relaxed geometry. Values from VASP.

Cell and atoms, written as Quantum ESPRESSO input:
```
&SYSTEM
  ibrav = 0, nat = 18, ntyp = 3
/
ATOMIC_SPECIES
Ce 140.12 Ce.upf
Zn 65.41 Zn.upf
Ir 192.22 Ir.upf
CELL_PARAMETERS angstrom
6.1028 0.0000 0.0000
0.0000 7.2570 0.0000
-3.0514 -3.6285 9.6223
ATOMIC_POSITIONS crystal
Ce 0.8805 0.2573 0.5000
Zn 0.1883 0.6095 0.0973
Ce 0.2659 0.6316 0.8351
Ce 0.5324 0.5162 0.3176
Ir 0.0000 0.8971 0.0000
Zn 0.8117 0.5122 0.9027
Ce 0.1195 0.7573 0.5000
Ce 0.7341 0.7966 0.1649
Ce 0.7148 0.6985 0.6824
Ce 0.4676 0.1985 0.6824
Ir 0.5000 0.3971 0.0000
Ce 0.0692 0.1316 0.8351
Ce 0.2852 0.0162 0.3176
Ir 0.6800 0.9170 0.5000
Zn 0.4090 0.1095 0.0973
Ir 0.3200 0.4170 0.5000
Zn 0.5910 0.0122 0.9027
Ce 0.9308 0.2966 0.1649
```



# 4
VASP calculation (GGA-PBE) on crystalline CeZn12Ir6 at its relaxed geometry. Values from VASP.

Cell and atoms, written as Quantum ESPRESSO input:
```
&SYSTEM
  ibrav = 0, nat = 19, ntyp = 3
/
ATOMIC_SPECIES
Zn 65.41 Zn.upf
Ir 192.22 Ir.upf
Ce 140.12 Ce.upf
CELL_PARAMETERS angstrom
7.0911 0.0304 0.0428
-1.7283 6.8773 0.0428
-1.7283 -2.2263 6.5072
ATOMIC_POSITIONS crystal
Zn 0.6007 0.8708 0.6007
Ir 0.6976 0.2749 0.2749
Ir 0.7251 0.3024 0.7251
Zn 0.1105 0.5000 0.8895
Zn 0.3993 0.1292 0.3993
Ir 0.2749 0.2749 0.6976
Zn 0.6007 0.6007 0.8708
Zn 0.5000 0.1105 0.8895
Zn 0.8895 0.5000 0.1105
Zn 0.5000 0.8895 0.1105
Zn 0.1292 0.3993 0.3993
Ir 0.3024 0.7251 0.7251
Zn 0.1105 0.8895 0.5000
Ce 0.0000 0.0000 0.0000
Ir 0.2749 0.6976 0.2749
Ir 0.7251 0.7251 0.3024
Zn 0.3993 0.3993 0.1292
Zn 0.8895 0.1105 0.5000
Zn 0.8708 0.6007 0.6007
```



# 5
VASP calculation (GGA-PBE) on crystalline CeZnIr at its relaxed geometry. Values from VASP.

Cell and atoms, written as Quantum ESPRESSO input:
```
&SYSTEM
  ibrav = 0, nat = 3, ntyp = 3
/
ATOMIC_SPECIES
Ir 192.22 Ir.upf
Zn 65.41 Zn.upf
Ce 140.12 Ce.upf
CELL_PARAMETERS angstrom
3.5920 0.0000 0.0000
0.0000 4.4189 0.0000
0.0000 -2.2094 3.8269
ATOMIC_POSITIONS crystal
Ir 0.1665 0.0000 0.0000
Zn 0.1668 0.6667 0.3333
Ce 0.6667 0.3333 0.6667
```



# 6
VASP calculation (GGA-PBE) on crystalline Ce5ZnIr5 at its relaxed geometry. Values from VASP.

Cell and atoms, written as Quantum ESPRESSO input:
```
&SYSTEM
  ibrav = 0, nat = 11, ntyp = 3
/
ATOMIC_SPECIES
Ce 140.12 Ce.upf
Ir 192.22 Ir.upf
Zn 65.41 Zn.upf
CELL_PARAMETERS angstrom
-0.8547 5.0516 1.8254
-2.4938 -1.1930 -5.9691
-5.3928 -3.0368 5.8790
ATOMIC_POSITIONS crystal
Ce 0.0000 0.0000 0.5000
Ce 0.6762 0.3523 0.8481
Ir 0.8584 0.7167 0.6839
Zn 0.0000 0.0000 0.0000
Ir 0.5000 0.0000 0.0000
Ce 0.3239 0.6479 0.6729
Ce 0.3238 0.6477 0.1519
Ce 0.6761 0.3521 0.3271
Ir 0.1416 0.2833 0.3161
Ir 0.1333 0.2666 0.8208
Ir 0.8667 0.7334 0.1792
```



# 7
VASP calculation (GGA-PBE) on crystalline Ce4ZnIr at its relaxed geometry. Values from VASP.

Cell and atoms, written as Quantum ESPRESSO input:
```
&SYSTEM
  ibrav = 0, nat = 12, ntyp = 3
/
ATOMIC_SPECIES
Ce 140.12 Ce.upf
Ir 192.22 Ir.upf
Zn 65.41 Zn.upf
CELL_PARAMETERS angstrom
-1.7498 -1.0557 5.4952
-6.2276 -1.8114 -4.8967
6.0537 -4.4090 -0.7642
ATOMIC_POSITIONS crystal
Ce 0.7567 0.6676 0.6056
Ce 0.0213 0.1928 0.8011
Ce 0.6511 0.0621 0.3944
Ir 0.7499 0.9999 0.9997
Ce 0.9787 0.8072 0.1989
Ce 0.3489 0.9379 0.6056
Ce 0.7202 0.3917 0.1989
Zn 0.3575 0.6075 0.2150
Ce 0.2433 0.3324 0.3944
Ce 0.2798 0.6083 0.8011
Zn 0.6425 0.3925 0.7850
Ir 0.2501 0.0001 0.0003
```

Values from the calculation:
* excess energy over the best structure of this formula in the dataset: 0.000 eV/atom



# 8
VASP calculation (GGA-PBE) on crystalline Ce6ZnIr at its relaxed geometry. Values from VASP.

Cell and atoms, written as Quantum ESPRESSO input:
```
&SYSTEM
  ibrav = 0, nat = 8, ntyp = 3
/
ATOMIC_SPECIES
Ce 140.12 Ce.upf
Ir 192.22 Ir.upf
Zn 65.41 Zn.upf
CELL_PARAMETERS angstrom
-2.1597 5.6329 -0.3610
-3.5146 -2.4304 4.2738
5.2034 1.0842 3.4074
ATOMIC_POSITIONS crystal
Ce 0.4257 0.8473 0.8050
Ce 0.5743 0.1527 0.1950
Ce 0.8473 0.4257 0.8050
Ce 0.8202 0.8202 0.3853
Ir 0.5000 0.5000 0.5000
Ce 0.1527 0.5743 0.1950
Zn 0.0000 0.0000 0.0000
Ce 0.1798 0.1798 0.6147
```



# 9
VASP calculation (GGA-PBE) on crystalline Ce2Zn5Ir at its relaxed geometry. Values from VASP.

Cell and atoms, written as Quantum ESPRESSO input:
```
&SYSTEM
  ibrav = 0, nat = 16, ntyp = 3
/
ATOMIC_SPECIES
Ir 192.22 Ir.upf
Ce 140.12 Ce.upf
Zn 65.41 Zn.upf
CELL_PARAMETERS angstrom
4.1962 0.0000 0.0000
-2.0981 8.1350 0.0000
0.0000 0.0000 9.0388
ATOMIC_POSITIONS crystal
Ir 0.4433 0.8866 0.7500
Ce 0.0000 0.0000 0.0000
Zn 0.8069 0.6138 0.3893
Ce 0.0000 0.0000 0.5000
Zn 0.6500 0.3001 0.4833
Zn 0.1931 0.3862 0.8893
Zn 0.3500 0.6999 0.9833
Zn 0.6010 0.2020 0.7500
Zn 0.8069 0.6138 0.1107
Ce 0.8153 0.6305 0.7500
Zn 0.3990 0.7980 0.2500
Zn 0.3500 0.6999 0.5167
Zn 0.1931 0.3862 0.6107
Ir 0.5567 0.1134 0.2500
Ce 0.1847 0.3695 0.2500
Zn 0.6500 0.3001 0.0167
```



# 10
VASP calculation (GGA-PBE) on crystalline CeZn11Ir at its relaxed geometry. Values from VASP.

Cell and atoms, written as Quantum ESPRESSO input:
```
&SYSTEM
  ibrav = 0, nat = 13, ntyp = 3
/
ATOMIC_SPECIES
Ce 140.12 Ce.upf
Zn 65.41 Zn.upf
Ir 192.22 Ir.upf
CELL_PARAMETERS angstrom
-1.1863 -4.9864 0.2456
5.1331 -4.0373 -2.0979
1.6702 -2.7359 6.1278
ATOMIC_POSITIONS crystal
Ce 0.0000 0.0000 0.0000
Zn 0.2810 0.2187 0.2205
Ir 0.5000 0.5000 0.0000
Zn 0.0000 0.0000 0.5000
Zn 0.5000 0.0000 0.5000
Zn 0.7190 0.7813 0.7795
Zn 0.6292 0.3571 0.3498
Zn 0.9789 0.3571 0.6502
Zn 0.3708 0.6429 0.6502
Zn 0.0211 0.6429 0.3498
Zn 0.4986 0.7813 0.2205
Zn 0.5014 0.2187 0.7795
Zn 0.0000 0.5000 0.0000
```



# 11
VASP calculation (GGA-PBE) on crystalline CeZnIr at its relaxed geometry. Values from VASP.

Cell and atoms, written as Quantum ESPRESSO input:
```
&SYSTEM
  ibrav = 0, nat = 3, ntyp = 3
/
ATOMIC_SPECIES
Zn 65.41 Zn.upf
Ir 192.22 Ir.upf
Ce 140.12 Ce.upf
CELL_PARAMETERS angstrom
4.5835 0.0000 0.0000
2.2918 3.9694 0.0000
2.2918 1.3231 3.7424
ATOMIC_POSITIONS crystal
Zn 0.0000 0.0000 0.0000
Ir 0.2500 0.2500 0.2500
Ce 0.5000 0.5000 0.5000
```



# 12
VASP calculation (GGA-PBE) on crystalline Ce2ZnIr at its relaxed geometry. Values from VASP.

Cell and atoms, written as Quantum ESPRESSO input:
```
&SYSTEM
  ibrav = 0, nat = 4, ntyp = 3
/
ATOMIC_SPECIES
Ir 192.22 Ir.upf
Ce 140.12 Ce.upf
Zn 65.41 Zn.upf
CELL_PARAMETERS angstrom
-0.4463 -2.9944 -2.0597
-1.8014 -1.6200 2.7456
-5.7462 2.4539 -2.3223
ATOMIC_POSITIONS crystal
Ir 0.5000 0.5000 0.0000
Ce 0.0000 0.0000 0.7738
Ce 0.0000 0.0000 0.2262
Zn 0.5000 0.5000 0.5000
```



Number 1: formation energy -2.14 eV/f.u., D(E_F) 32.554 states/eV per cell, final energy -5.4024 eV/atom. Number 2: formation energy -5.25 eV/f.u., D(E_F) 9.466 states/eV per cell, final energy -7.3002 eV/atom. Number 3: formation energy -3.60 eV/f.u., D(E_F) 45.680 states/eV per cell, final energy -5.9485 eV/atom. Number 4: formation energy -0.84 eV/f.u., D(E_F) 19.033 states/eV per cell, final energy -3.9595 eV/atom. Number 5: formation energy -1.55 eV/f.u., D(E_F) 4.788 states/eV per cell, final energy -5.8722 eV/atom. Number 6: formation energy -5.51 eV/f.u., D(E_F) 17.629 states/eV per cell, final energy -7.3412 eV/atom. Number 7: formation energy -1.99 eV/f.u., D(E_F) 26.367 states/eV per cell, final energy -5.9771 eV/atom. Number 8: formation energy -0.79 eV/f.u., D(E_F) 22.582 states/eV per cell, final energy -5.8154 eV/atom. Number 9: formation energy -2.90 eV/f.u., D(E_F) 22.178 states/eV per cell, final energy -3.7500 eV/atom. Number 10: formation energy -2.70 eV/f.u., D(E_F) 9.615 states/eV per cell, final energy -2.4238 eV/atom. Number 11: formation energy -1.31 eV/f.u., D(E_F) 4.688 states/eV per cell, final energy -5.7925 eV/atom. Number 12: formation energy -1.83 eV/f.u., D(E_F) 7.274 states/eV per cell, final energy -5.9582 eV/atom.